An optimized crystal structure of MoIOF2. Source: Alexandria via LeMat-Bulk, functional PBE+U.

The space group is P4/mmm (No. 123) and the conventional cell measures 4.391, 4.391 and 4.139 Å, with angles of 90.00, 90.00 and 90.00 degrees. Symmetry generates all atoms from Mo at (0.000, 0.000, 0.000), I at (0.500, 0.500, 0.500), O at (0.000, 0.000, 0.500) and F at (0.000, 0.500, 0.000).

As for the energy above the most stable polymorph in this dataset: 0.000 eV/atom. The spin magnetization is 1.00 μB per formula unit.